[1]
The following is a DFT calculation (PBE) of a relaxed structure of NiB2MoW.

a = 4.5239 Å, b = 4.5239 Å, c = 4.5239 Å
α = 138.62°, β = 119.19°, γ = 76.23°
Closest atoms and distances in Å follow each position.
Positions (direct):
B (0.7990, 0.5000, 0.2990)  1 B 1.84
B (0.2009, 0.5000, 0.7010)  1 B 1.84
Mo (0.8000, 0.8000, 0.0000)  6 B 2.33-2.54
Ni (0.5000, 0.0000, 0.5000)  4 B 2.10
W (0.2000, 0.2000, 0.0000)  6 B 2.33-2.54

Size of the total moment   0.001 Bohr magnetons per cell
Calculated total energy   -45.036 eV/f.u.
Volume   10.42 Å³/atom

***

[2]
The following is a DFT calculation (PBE) of a relaxed structure of YNiBMo.

a = 4.3260 Å, b = 4.3260 Å, c = 4.3260 Å
α = 60.00°, β = 60.00°, γ = 60.00°
Closest atoms and distances in Å follow each position.
Positions (direct):
B (0.0000, 0.0000, 0.0000)  4 Ni 2.65, 4 Mo 2.65
Mo (0.2500, 0.2500, 0.2500)  4 Y 2.65, 4 B 2.65
Ni (0.7500, 0.7500, 0.7500)  4 B 2.65, 4 Y 2.65
Y (0.5000, 0.5000, 0.5000)  4 Mo 2.65, 4 Ni 2.65

Size of the total moment   0.094 Bohr magnetons per cell
Energy relative to the lowest polymorph listed for this composition   0.424 eV/atom
Volume   14.31 Å³/atom

***

[3]
The following is a DFT calculation (PBE) of a relaxed structure of YNiBMo.

a = 4.3816 Å, b = 4.3816 Å, c = 4.3816 Å
α = 60.00°, β = 60.00°, γ = 60.00°
Closest atoms and distances in Å follow each position.
Positions (direct):
B (0.0000, 0.0000, 0.0000)  4 Mo 2.68, 4 Y 2.68
Mo (0.7500, 0.7500, 0.7500)  4 Ni 2.68, 4 B 2.68
Ni (0.5000, 0.5000, 0.5000)  4 Mo 2.68, 4 Y 2.68
Y (0.2500, 0.2500, 0.2500)  4 Ni 2.68, 4 B 2.68

Size of the total moment   1.211 Bohr magnetons per cell
Energy relative to the lowest polymorph listed for this composition   0.000 eV/atom
Volume   14.87 Å³/atom

***

[4]
The following is a DFT calculation (PBE) of a relaxed structure of ZnNiBMo.

a = 4.0271 Å, b = 4.0271 Å, c = 4.0271 Å
α = 60.00°, β = 60.00°, γ = 60.00°
Closest atoms and distances in Å follow each position.
Positions (direct):
B (0.0000, 0.0000, 0.0000)  4 Mo 2.47, 4 Ni 2.47
Mo (0.2500, 0.2500, 0.2500)  4 B 2.47, 4 Zn 2.47
Ni (0.7500, 0.7500, 0.7500)  4 Zn 2.47, 4 B 2.47
Zn (0.5000, 0.5000, 0.5000)  4 Ni 2.47, 4 Mo 2.47

Size of the total moment   0.003 Bohr magnetons per cell
Energy relative to the lowest polymorph listed for this composition   0.008 eV/atom
Volume   11.54 Å³/atom

***

Number 3 is which compound? YNiBMo